[1]
Computed, not measured: a geometry-optimized NpTl2AgF8 structure at the PBE level of DFT.

Properties
The mass density is 6.893 g cm⁻³. Its calculated volume is 18.2 Å³ per atom. The spin magnetization comes out at 2.00 μB/f.u. The electronic total energy comes out at -64.49 eV/cell. The space group is I-4m2.

Cell and atoms, written as POSCAR:
```
NpTl2AgF8
1.0
-3.0696 3.0696 5.7886
3.0696 -3.0696 5.7886
3.0696 3.0696 -5.7886
Np Tl Ag F
1 2 1 8
direct
0.0000 0.0000 0.0000
0.5000 0.5000 0.0000
0.7500 0.2500 0.5000
0.2500 0.7500 0.5000
0.1022 0.0919 0.4162
0.1022 0.6860 0.0102
0.3140 0.3243 0.4162
0.3140 0.8978 0.9898
0.6757 0.0919 0.9898
0.6757 0.6860 0.5838
0.9081 0.3243 0.0102
0.9081 0.8978 0.5838
```

=====

[2]
Computed, not measured: a geometry-optimized NpTlAgF6 structure at the PBE level of DFT.

Properties
The mass density is 5.675 g cm⁻³. Its calculated volume is 21.6 Å³ per atom. The spin magnetization comes out at 3.00 μB/f.u. The electronic total energy comes out at -104.91 eV/cell. The space group is P-31c.

Cell and atoms, written as POSCAR:
```
NpTlAgF6
1.0
6.3687 0.0000 0.0000
-3.1843 5.5154 0.0000
0.0000 0.0000 11.0505
Np Tl Ag F
2 2 2 12
direct
0.3333 0.6667 0.2500
0.6667 0.3333 0.7500
0.0000 0.0000 0.0000
0.0000 0.0000 0.5000
0.3333 0.6667 0.7500
0.6667 0.3333 0.2500
0.0409 0.3865 0.1422
0.0409 0.6544 0.3578
0.3456 0.3865 0.3578
0.3456 0.9591 0.1422
0.3865 0.0409 0.6422
0.3865 0.3456 0.8578
0.6135 0.6544 0.1422
0.6135 0.9591 0.3578
0.6544 0.0409 0.8578
0.6544 0.6135 0.6422
0.9591 0.3456 0.6422
0.9591 0.6135 0.8578
```

=====

[3]
Computed, not measured: a geometry-optimized NpTlAg2F8 structure at the PBE level of DFT.

Properties
The mass density is 5.562 g cm⁻³. Its calculated volume is 20.1 Å³ per atom. The spin magnetization comes out at 2.00 μB/f.u. The electronic total energy comes out at -62.32 eV/cell. The space group is P-3m1.

Cell and atoms, written as POSCAR:
```
NpTlAg2F8
1.0
5.5466 0.0000 0.0000
-2.7733 4.8035 0.0000
0.0000 0.0000 9.0665
Np Tl Ag F
1 1 2 8
direct
0.0000 0.0000 0.0000
0.0000 0.0000 0.5000
0.3333 0.6667 0.6562
0.6667 0.3333 0.3438
0.1691 0.3382 0.8573
0.1691 0.8309 0.8573
0.3333 0.6667 0.4218
0.3382 0.1691 0.1427
0.6618 0.8309 0.8573
0.6667 0.3333 0.5782
0.8309 0.1691 0.1427
0.8309 0.6618 0.1427
```

=====

[4]
Computed, not measured: a geometry-optimized Ag4OF2 structure at the PBE level of DFT.

Properties
The mass density is 7.510 g cm⁻³. Its calculated volume is 15.3 Å³ per atom. The spin magnetization comes out at 0.00 μB/f.u. The value obtained for the energy relative to the lowest polymorph listed for this composition is 0.107 eV per atom. The electronic total energy comes out at -46.36 eV/cell. The space group is I-42m.

Cell and atoms, written as POSCAR:
```
Ag4OF2
1.0
6.2881 0.0000 0.0000
0.0000 6.2881 0.0000
0.0000 0.0000 5.4298
Ag O F
8 2 4
direct
0.1713 0.1713 0.1893
0.1713 0.8287 0.8107
0.3287 0.3287 0.6893
0.3287 0.6713 0.3107
0.6713 0.3287 0.3107
0.6713 0.6713 0.6893
0.8287 0.1713 0.8107
0.8287 0.8287 0.1893
0.0000 0.0000 0.5000
0.5000 0.5000 0.0000
0.0000 0.5000 0.2500
0.0000 0.5000 0.7500
0.5000 0.0000 0.2500
0.5000 0.0000 0.7500
```

=====

[5]
Computed, not measured: a geometry-optimized Ag3OF2 structure at the PBE level of DFT.

Properties
The mass density is 7.109 g cm⁻³. Its calculated volume is 14.7 Å³ per atom. The spin magnetization comes out at 0.00 μB/f.u. The value obtained for the energy relative to the lowest polymorph listed for this composition is 0.006 eV per atom. The electronic total energy comes out at -41.93 eV/cell. The space group is C2/c.

Cell and atoms, written as POSCAR:
```
Ag3OF2
1.0
5.5702 -2.5097 0.0000
5.5702 2.5097 0.0000
-1.9488 0.0000 6.3092
Ag O F
6 2 4
direct
0.0005 0.9995 0.7500
0.3534 0.3537 0.4271
0.3537 0.3534 0.9271
0.6463 0.6466 0.0729
0.6466 0.6463 0.5729
0.9995 0.0005 0.2500
0.4993 0.5007 0.2500
0.5007 0.4993 0.7500
0.1967 0.1970 0.0990
0.1970 0.1967 0.5990
0.8030 0.8033 0.4010
0.8033 0.8030 0.9010
```

=====

[6]
Computed, not measured: a geometry-optimized Ag6OF4 structure at the PBE level of DFT.

Properties
The mass density is 6.753 g cm⁻³. Its calculated volume is 16.5 Å³ per atom. The spin magnetization comes out at 0.00 μB/f.u. The electronic total energy comes out at -74.53 eV/cell. The space group is Cc.

Cell and atoms, written as POSCAR:
```
Ag6OF4
1.0
5.3730 -3.2666 0.0000
5.3730 3.2666 0.0000
-2.2349 0.0000 10.3568
Ag O F
12 2 8
direct
0.0137 0.9863 0.5000
0.1097 0.6856 0.7780
0.1604 0.4833 0.0894
0.2784 0.8329 0.2828
0.3550 0.9955 0.8491
0.4820 0.6560 0.0345
0.4833 0.1604 0.5894
0.6560 0.4820 0.5345
0.6856 0.1097 0.2780
0.8329 0.2784 0.7828
0.9863 0.0137 0.0000
0.9955 0.3550 0.3491
0.8559 0.9670 0.6706
0.9670 0.8559 0.1706
0.0885 0.4134 0.5788
0.3647 0.3911 0.3629
0.3863 0.8357 0.6340
0.3911 0.3647 0.8629
0.4134 0.0885 0.0788
0.6127 0.7817 0.3872
0.7817 0.6127 0.8872
0.8357 0.3863 0.1340
```

=====

[7]
Computed, not measured: a geometry-optimized Ag8OF6 structure at the PBE level of DFT.

Properties
The mass density is 6.933 g cm⁻³. Its calculated volume is 15.9 Å³ per atom. The spin magnetization comes out at 0.00 μB/f.u. The electronic total energy comes out at -50.70 eV/cell. The space group is R-3.

Cell and atoms, written as POSCAR:
```
Ag8OF6
1.0
4.4048 2.5431 3.5385
-4.4048 2.5431 3.5385
0.0000 -5.0863 3.5385
Ag O F
8 1 6
direct
0.1473 0.1473 0.1473
0.1702 0.3490 0.5708
0.3490 0.5708 0.1702
0.4292 0.8298 0.6510
0.5708 0.1702 0.3490
0.6510 0.4292 0.8298
0.8298 0.6510 0.4292
0.8527 0.8527 0.8527
0.5000 0.5000 0.5000
0.1286 0.8404 0.3644
0.1596 0.6356 0.8714
0.3644 0.1286 0.8404
0.6356 0.8714 0.1596
0.8404 0.3644 0.1286
0.8714 0.1596 0.6356
```

=====

[8]
Computed, not measured: a geometry-optimized Ag5OF2 structure at the PBE level of DFT.

Properties
The mass density is 7.829 g cm⁻³. Its calculated volume is 15.7 Å³ per atom. The spin magnetization comes out at 0.00 μB/f.u. The value obtained for the energy relative to the lowest polymorph listed for this composition is 0.000 eV per atom. The electronic total energy comes out at -53.29 eV/cell. The space group is Cm.

Cell and atoms, written as POSCAR:
```
Ag5OF2
1.0
9.9637 0.0000 0.0000
0.0000 4.5068 0.0000
-4.9527 0.0000 5.6049
Ag O F
10 2 4
direct
0.0000 0.0000 0.0000
0.0257 0.0000 0.4024
0.1621 0.5000 0.3104
0.2817 0.0000 0.9227
0.4051 0.0000 0.6603
0.5000 0.5000 0.0000
0.5257 0.5000 0.4024
0.6621 0.0000 0.3104
0.7817 0.5000 0.9227
0.9051 0.5000 0.6603
0.4462 0.5000 0.6589
0.9462 0.0000 0.6589
0.2202 0.5000 0.9938
0.4030 0.0000 0.3413
0.7202 0.0000 0.9938
0.9030 0.5000 0.3413
```

=====

[9]
Computed, not measured: a geometry-optimized Ag4O2F5 structure at the PBE level of DFT.

Properties
The mass density is 5.415 g cm⁻³. Its calculated volume is 15.6 Å³ per atom. The spin magnetization comes out at 0.00 μB/f.u. The electronic total energy comes out at -38.37 eV/cell. The space group is P-1.

Cell and atoms, written as POSCAR:
```
Ag4O2F5
1.0
3.4358 0.0000 0.0000
0.4987 5.4224 0.0000
0.7310 1.2673 9.1920
Ag O F
4 2 5
direct
0.0656 0.2685 0.4124
0.3324 0.0743 0.8366
0.6676 0.9257 0.1634
0.9344 0.7315 0.5876
0.3946 0.9201 0.6525
0.6054 0.0799 0.3475
0.0695 0.6654 0.2566
0.2745 0.1898 0.0477
0.5000 0.5000 0.5000
0.7255 0.8102 0.9523
0.9305 0.3346 0.7434
```

=====

[10]
Computed, not measured: a geometry-optimized Ag3O2F structure at the PBE level of DFT.

Properties
The mass density is 6.503 g cm⁻³. Its calculated volume is 15.9 Å³ per atom. The spin magnetization comes out at 0.00 μB/f.u. The electronic total energy comes out at -43.83 eV/cell. The space group is Cmcm.

Cell and atoms, written as POSCAR:
```
Ag3O2F
1.0
5.3201 -4.0183 0.0000
5.3201 4.0183 0.0000
0.0000 0.0000 4.4747
Ag O F
6 4 2
direct
0.1634 0.4335 0.2500
0.1800 0.8200 0.7500
0.4335 0.1634 0.7500
0.5665 0.8366 0.2500
0.8200 0.1800 0.2500
0.8366 0.5665 0.7500
0.1841 0.4535 0.7500
0.4535 0.1841 0.2500
0.5465 0.8159 0.7500
0.8159 0.5465 0.2500
0.1470 0.8530 0.2500
0.8530 0.1470 0.7500
```